No. 1
PuBeAlO6: optimized geometry, GGA-PBE.

Geometry as POSCAR:
```
PuBeAlO6
1.0
4.8819 0.0000 0.0000
-2.4409 4.2278 0.0000
0.0000 0.0000 8.6870
Pu Be Al O
2 2 2 12
Direct
0.3333 0.6667 0.2500 Pu
0.6667 0.3333 0.7500 Pu
0.6667 0.3333 0.2500 Be
0.3333 0.6667 0.7500 Be
0.0000 0.0000 0.0000 Al
0.0000 0.0000 0.5000 Al
0.6808 0.6598 0.1281 O
0.9790 0.3192 0.1281 O
0.3192 0.9790 0.6281 O
0.0210 0.6808 0.8719 O
0.3402 0.3192 0.3719 O
0.9790 0.6598 0.3719 O
0.6598 0.9790 0.8719 O
0.6808 0.0210 0.3719 O
0.0210 0.3402 0.6281 O
0.3402 0.0210 0.1281 O
0.6598 0.6808 0.6281 O
0.3192 0.3402 0.8719 O
```

formation energy without anion corrections	-2.2839	eV/atom
space-group type	P-31c, No. 163


No. 2
ErZrRh4: optimized geometry, GGA-PBE.

Geometry as POSCAR:
```
ErZrRh4
1.0
-1.1171 -4.3323 2.7767
-0.0897 -4.6989 -2.3747
3.7759 -3.5300 1.0042
Rh Zr Er
4 1 1
Direct
0.6249 0.6249 0.1253 Rh
0.6249 0.1253 0.6249 Rh
0.6249 0.6249 0.6249 Rh
0.1253 0.6249 0.6249 Rh
0.0000 0.0000 0.0000 Zr
0.2500 0.2500 0.2500 Er
```

ΔH_f (0 K)	-64.79	kJ per mole of atoms
space-group type	F-43m, No. 216


Q: Number 1 is which compound?
A: PuBeAlO6


What did the second record say?
ErZrRh4: optimized geometry, GGA-PBE.

Geometry as POSCAR:
```
ErZrRh4
1.0
-1.1171 -4.3323 2.7767
-0.0897 -4.6989 -2.3747
3.7759 -3.5300 1.0042
Rh Zr Er
4 1 1
Direct
0.6249 0.6249 0.1253 Rh
0.6249 0.1253 0.6249 Rh
0.6249 0.6249 0.6249 Rh
0.1253 0.6249 0.6249 Rh
0.0000 0.0000 0.0000 Zr
0.2500 0.2500 0.2500 Er
```

ΔH_f (0 K)	-64.79	kJ per mole of atoms
space-group type	F-43m, No. 216


Repeat the first record exactly.
PuBeAlO6: optimized geometry, GGA-PBE.

Geometry as POSCAR:
```
PuBeAlO6
1.0
4.8819 0.0000 0.0000
-2.4409 4.2278 0.0000
0.0000 0.0000 8.6870
Pu Be Al O
2 2 2 12
Direct
0.3333 0.6667 0.2500 Pu
0.6667 0.3333 0.7500 Pu
0.6667 0.3333 0.2500 Be
0.3333 0.6667 0.7500 Be
0.0000 0.0000 0.0000 Al
0.0000 0.0000 0.5000 Al
0.6808 0.6598 0.1281 O
0.9790 0.3192 0.1281 O
0.3192 0.9790 0.6281 O
0.0210 0.6808 0.8719 O
0.3402 0.3192 0.3719 O
0.9790 0.6598 0.3719 O
0.6598 0.9790 0.8719 O
0.6808 0.0210 0.3719 O
0.0210 0.3402 0.6281 O
0.3402 0.0210 0.1281 O
0.6598 0.6808 0.6281 O
0.3192 0.3402 0.8719 O
```

formation energy without anion corrections	-2.2839	eV/atom
space-group type	P-31c, No. 163